(1)
Compound: Pr3AlTl4S8
Source: the Alexandria database
Functional: PBE
Structure: relaxed

Cell lengths 8.1696, 8.8659, 8.1710 Å; angles 117.45, 119.99, 90.00 degrees
Fractional coordinates of all 16 atoms:
S (0.7647, 0.6922, 0.9784)
Tl (0.0000, 0.0000, 0.5000)
S (0.2143, 0.6926, 0.4286)
S (0.7862, 0.3078, 0.0216)
S (0.2635, 0.2903, 0.5269)
Pr (0.5000, 0.5000, 0.5000)
S (0.7365, 0.7097, 0.4731)
Tl (0.5000, 0.0000, 0.5000)
Tl (0.0000, 0.0000, 0.0000)
Pr (0.0000, 0.5000, 0.5000)
Al (0.0000, 0.5000, 0.0000)
Pr (0.5000, 0.5000, 0.0000)
Tl (0.5000, 0.0000, 0.0000)
S (0.7857, 0.3074, 0.5714)
S (0.2353, 0.3078, 0.0216)
S (0.2138, 0.6922, 0.9784)

ΔE_f (raw) = -1210 meV/atom
Space group = R-3m, No. 166


(2)
Compound: LiCo2S2
Source: the Alexandria database
Functional: PBE
Structure: relaxed

Cell lengths 4.2422, 4.2422, 4.8912 Å; angles 64.30, 64.30, 90.00 degrees
Site moments in Bohr magnetons follow the coordinates.
Fractional coordinates of all 5 atoms:
Li (0.0000, 0.0000, 0.0000)  0.00
S (0.2500, 0.7500, 0.5000)  0.00
S (0.7500, 0.2500, 0.5000)  0.00
Co (0.3456, 0.3456, 0.3087)  0.35
Co (0.6544, 0.6544, 0.6913)  0.35

ΔE_f (raw) = -271 meV/atom
Space group = I4/mmm, No. 139


(3)
Compound: SrMnP2W
Source: the Alexandria database
Functional: PBE
Structure: relaxed

Cell lengths 3.9239, 3.9239, 6.7770 Å; angles 106.83, 106.83, 90.00 degrees
Site moments in Bohr magnetons follow the coordinates.
Fractional coordinates of all 5 atoms:
W (0.2500, 0.7500, 0.5000)  -0.04
Mn (0.7500, 0.2500, 0.5000)  2.66
P (0.6378, 0.6378, 0.2757)  -0.02
Sr (0.0000, 0.0000, 0.0000)  -0.03
P (0.3622, 0.3622, 0.7243)  -0.02

Space group = I-4m2, No. 119


| no. | VASP energy (eV per cell) | magnetization (μB/cell) |
| --- | --- | --- |
| 1 | -79.92 | 0.0 |
| 2 | -25.73 | 0.7 |
| 3 | -37.60 | 2.5 |